InGaHg3Pb: relaxed, GGA-PBE.

Calculated values
Formation energy from the elements (eV per atom): 0.049
Electronic total energy (eV/atom): -1.681
Symmetry: No. 63

a = 3.9538 Å, b = 7.3387 Å, c = 11.4383 Å
α = 90.00°, β = 90.00°, γ = 105.63°
Fractional positions:
Pb 0.7539 0.5078 0.7500
Ga 0.4287 0.8575 0.7500
Hg 0.3333 0.6666 0.9812
Hg 0.6667 0.3334 0.0188
Pb 0.2461 0.4922 0.2500
Hg 0.0790 0.1579 0.7500
In 0.0000 0.0000 0.0000
Hg 0.6667 0.3334 0.4812
Ga 0.5713 0.1425 0.2500
In 0.0000 0.0000 0.5000
Hg 0.3333 0.6666 0.5188
Hg 0.9210 0.8421 0.2500